1.
# Ba8Pd3SeI4 | Alexandria | PBE | relaxed
data_Ba8Pd3SeI4
_cell_length_a 9.4526
_cell_length_b 9.4526
_cell_length_c 25.9455
_cell_angle_alpha 90.00
_cell_angle_beta 90.00
_cell_angle_gamma 120.00
_symmetry_space_group_name_H-M 'R -3 m'
_symmetry_Int_Tables_number 166
_symmetry_space_group_name_Hall '-R 3 2"'
loop_
_atom_site_label
_atom_site_fract_x
_atom_site_fract_y
_atom_site_fract_z
_atom_site_occupancy
Ba1 0.0000 0.0000 0.2359 1
Ba2 0.0074 0.5037 0.7660 1
Pd1 0.0000 0.5000 0.5000 1
Se1 0.0000 0.0000 0.5000 1
I1 0.0000 0.0000 0.0000 1
I2 0.0000 0.5000 0.0000 1
# **E_tot**: -3.70 eV/atom
# **Formation energy from raw total energies**: -112 kJ per mole of atoms
# **Density**: 5.0 g/cm³

=====

2.
# Ba4PdSeI2 | Alexandria | PBE | relaxed
data_Ba4PdSeI2
_cell_length_a 8.409
_cell_length_b 4.676
_cell_length_c 8.859
_cell_angle_alpha 90.00
_cell_angle_beta 106.26
_cell_angle_gamma 90.00
_symmetry_space_group_name_H-M 'P 1 2/m 1'
_symmetry_Int_Tables_number 10
loop_
_symmetry_equiv_pos_as_xyz
'x,y,z'
'-x,-y,-z'
'-x,y,-z'
'x,-y,z'
loop_
_atom_site_label
_atom_site_fract_x
_atom_site_fract_y
_atom_site_fract_z
_atom_site_occupancy
Ba1 0.229 0.000 0.206 1
Ba2 0.253 0.500 0.795 1
Pd1 0.000 0.500 0.000 1
Se1 0.500 0.000 0.000 1
I1 0.000 0.000 0.500 1
I2 0.500 0.500 0.500 1
# **E_tot**: -3.76 eV/atom
# **Formation energy from raw total energies**: -128 kJ per mole of atoms
# **Density**: 4.9 g/cm³

=====

3.
# Ba6PdSe2I3 | Alexandria | PBE | relaxed
data_Ba6PdSe2I3
_cell_length_a 8.346
_cell_length_b 14.445
_cell_length_c 8.765
_cell_angle_alpha 90.00
_cell_angle_beta 108.63
_cell_angle_gamma 90.00
_symmetry_space_group_name_H-M 'C 1 2/m 1'
_symmetry_Int_Tables_number 12
loop_
_symmetry_equiv_pos_as_xyz
'x,y,z'
'-x,-y,-z'
'-x,y,-z'
'x,-y,z'
'x+1/2,y+1/2,z'
'-x+1/2,-y+1/2,-z'
'-x+1/2,y+1/2,-z'
'x+1/2,-y+1/2,z'
loop_
_atom_site_label
_atom_site_fract_x
_atom_site_fract_y
_atom_site_fract_z
_atom_site_occupancy
Ba1 0.231 0.162 0.207 1
Ba2 0.244 0.500 0.210 1
Pd1 0.000 0.000 0.000 1
Se1 0.000 0.333 0.000 1
I1 0.000 0.171 0.500 1
I2 0.000 0.500 0.500 1
# **E_tot**: -3.81 eV/atom
# **Formation energy from raw total energies**: -139 kJ per mole of atoms
# **Density**: 4.9 g/cm³

=====

4.
# Ba2SrPdI | Alexandria | PBE | relaxed
data_Ba2SrPdI
_cell_length_a 6.319
_cell_length_b 6.319
_cell_length_c 5.965
_cell_angle_alpha 90.00
_cell_angle_beta 90.00
_cell_angle_gamma 90.00
_symmetry_space_group_name_H-M 'P 4/m m m'
_symmetry_Int_Tables_number 123
_symmetry_space_group_name_Hall '-P 4 2'
loop_
_atom_site_label
_atom_site_fract_x
_atom_site_fract_y
_atom_site_fract_z
_atom_site_occupancy
Ba1 0.000 0.500 0.000 1
Sr1 0.000 0.000 0.500 1
Pd1 0.000 0.000 0.000 1
I1 0.500 0.500 0.500 1
# **E_tot**: -3.04 eV/atom
# **Formation energy from raw total energies**: -57 kJ per mole of atoms
# **Density**: 4.2 g/cm³

=====

5.
# BaTe2PdI | Alexandria | PBE | relaxed
data_BaTe2PdI
_cell_length_a 6.775
_cell_length_b 6.775
_cell_length_c 6.621
_cell_angle_alpha 90.00
_cell_angle_beta 90.00
_cell_angle_gamma 90.00
_symmetry_space_group_name_H-M 'P 4/m m m'
_symmetry_Int_Tables_number 123
_symmetry_space_group_name_Hall '-P 4 2'
loop_
_atom_site_label
_atom_site_fract_x
_atom_site_fract_y
_atom_site_fract_z
_atom_site_occupancy
Ba1 0.000 0.000 0.000 1
Te1 0.000 0.500 0.000 1
Pd1 0.500 0.500 0.500 1
I1 0.000 0.000 0.500 1
# **E_tot**: -2.59 eV/atom
# **Formation energy from raw total energies**: 39 kJ per mole of atoms
# **Density**: 3.4 g/cm³

=====

6.
# BaTe2PdI | Alexandria | PBE | relaxed
data_BaTe2PdI
_cell_length_a 5.449
_cell_length_b 5.449
_cell_length_c 5.593
_cell_angle_alpha 90.00
_cell_angle_beta 90.00
_cell_angle_gamma 90.00
_symmetry_space_group_name_H-M 'P 4/m m m'
_symmetry_Int_Tables_number 123
_symmetry_space_group_name_Hall '-P 4 2'
loop_
_atom_site_label
_atom_site_fract_x
_atom_site_fract_y
_atom_site_fract_z
_atom_site_occupancy
Ba1 0.000 0.000 0.000 1
Te1 0.000 0.500 0.500 1
Pd1 0.500 0.500 0.500 1
I1 0.500 0.500 0.000 1
# **E_tot**: -3.75 eV/atom
# **Formation energy from raw total energies**: -73 kJ per mole of atoms
# **Density**: 6.3 g/cm³